Density functional theory data (SCAN) for a crystal of HPdO2 relaxed with PBEsol.

* DFT total energy: -11.649 eV/atom
* M_tot: 0.0 μB per formula unit
* crystal system: cubic
* V: 7.91 A^3/atom

Cell: 3.5503 3.5503 3.5503 Å, 60.00 60.00 60.00°
Atoms (fractional coordinates):
H (0.0000, 0.0000, 0.0000)
Pd (0.5000, 0.5000, 0.5000)
O (0.7500, 0.7500, 0.7500)
O (0.2500, 0.2500, 0.2500)


Density functional theory data (SCAN) for a crystal of HPdO2 relaxed with PBEsol.

* DFT total energy: -12.040 eV/atom
* M_tot: 0.8 μB per formula unit
* crystal system: tetragonal
* V: 8.40 A^3/atom

Cell: 4.3144 4.7281 4.3144 Å, 62.85 90.00 117.15°
Site moments in Bohr magnetons follow the coordinates.
Atoms (fractional coordinates):
Pd (0.7500, 0.5000, 0.7500)  0.39
Pd (0.0000, 0.0000, 0.0000)  0.39
O (0.3750, 0.2500, 0.2083)  0.18
O (0.5417, 0.7500, 0.3750)  0.18
O (0.2083, 0.7500, 0.8750)  0.18
O (0.8750, 0.2500, 0.5417)  0.18
H (0.2500, 0.5000, 0.2500)  -0.01
H (0.5000, 0.0000, 0.5000)  -0.01


Please write out number 1 again, unchanged.
Density functional theory data (SCAN) for a crystal of HPdO2 relaxed with PBEsol.

* DFT total energy: -11.649 eV/atom
* M_tot: 0.0 μB per formula unit
* crystal system: cubic
* V: 7.91 A^3/atom

Cell: 3.5503 3.5503 3.5503 Å, 60.00 60.00 60.00°
Atoms (fractional coordinates):
H (0.0000, 0.0000, 0.0000)
Pd (0.5000, 0.5000, 0.5000)
O (0.7500, 0.7500, 0.7500)
O (0.2500, 0.2500, 0.2500)